Density functional theory data (GGA-PBE) for a relaxed Zn4P6N12Cl crystal.

The space group is I-43m (No. 217) and the conventional cell measures 8.282, 8.282 and 8.282 Å, with angles of 90.00, 90.00 and 90.00 degrees. The inequivalent atoms are Zn at (0.176, 0.176, 0.824), P at (0.000, 0.250, 0.500), N at (0.086, 0.359, 0.359) and Cl at (0.000, 0.000, 0.000).

The calculation puts the total DFT energy (no corrections) at -0.2381 hartree per atom.



Density functional theory data (GGA-PBE) for a relaxed ZrP2NCl11 crystal.

The space group is Cmce (No. 64) and the conventional cell measures 18.426, 11.874 and 16.166 Å, with angles of 90.00, 90.00 and 90.00 degrees. The inequivalent atoms are Zr at (0.000, 0.149, 0.068), P at (0.197, 0.002, 0.317), N at (0.250, 0.049, 0.250), Cl at (0.000, 0.074, 0.913), Cl at (0.000, 0.157, 0.525), Cl at (0.000, 0.169, 0.216), Cl at (0.117, 0.092, 0.728), Cl at (0.133, 0.146, 0.060), Cl at (0.151, 0.128, 0.377) and Cl at (0.246, 0.092, 0.598).

The calculation puts the total DFT energy (no corrections) at -0.1554 hartree per atom.



Density functional theory data (GGA-PBE) for a relaxed Pm4NCl5 crystal.

The space group is C2/m (No. 12) and the conventional cell measures 17.327, 3.765 and 7.958 Å, with angles of 90.00, 104.24 and 90.00 degrees. The inequivalent atoms are Pm at (0.002, 0.000, 0.290), Pm at (0.144, 0.500, 0.582), N at (0.000, 0.500, 0.500), Cl at (0.000, 0.500, 0.000), Cl at (0.163, 0.000, 0.848) and Cl at (0.171, 0.000, 0.334).

The calculation puts the total DFT energy (no corrections) at -0.2038 hartree per atom.



Density functional theory data (GGA-PBE) for a relaxed Pr4NCl5 crystal.

The space group is C2/m (No. 12) and the conventional cell measures 17.652, 3.835 and 8.097 Å, with angles of 90.00, 104.68 and 90.00 degrees. The inequivalent atoms are Pr at (0.002, 0.000, 0.289), Pr at (0.145, 0.500, 0.585), N at (0.000, 0.500, 0.500), Cl at (0.000, 0.500, 0.000), Cl at (0.163, 0.000, 0.851) and Cl at (0.172, 0.000, 0.337).

The calculation puts the total DFT energy (no corrections) at -0.2036 hartree per atom.



Density functional theory data (GGA-PBE) for a relaxed PrSmNCl crystal.

The space group is P-6m2 (No. 187) and the conventional cell measures 3.6635, 3.6635 and 14.0648 Å, with angles of 90.00, 90.00 and 120.00 degrees. The inequivalent atoms are Pr at (0.0000, 0.0000, 0.1575), Sm at (0.6667, 0.3333, 0.3463), N at (0.3333, 0.6667, 0.2622), Cl at (0.0000, 0.0000, 0.5000) and Cl at (0.6667, 0.3333, 0.0000).

For the energy above the most stable polymorph in this dataset, the calculation gives 0.000 eV/atom.



Density functional theory data (GGA-PBE) for a relaxed Pr3SmN2Cl2 crystal.

The space group is P3m1 (No. 156) and the conventional cell measures 3.6810, 3.6810 and 14.1599 Å, with angles of 90.00, 90.00 and 120.00 degrees. The inequivalent atoms are Pr at (0.0000, 0.0000, 0.0000), Pr at (0.0000, 0.0000, 0.3103), Pr at (0.6667, 0.3333, 0.5013), Sm at (0.6667, 0.3333, 0.8127), N at (0.3333, 0.6667, 0.4058), N at (0.3333, 0.6667, 0.8955), Cl at (0.0000, 0.0000, 0.6621) and Cl at (0.6667, 0.3333, 0.1546).

The calculation puts the total DFT energy (no corrections) at -0.2377 hartree per atom.



Density functional theory data (GGA-PBE) for a relaxed PrSmNCl crystal.

The space group is P-3m1 (No. 164) and the conventional cell measures 3.6582, 3.6582 and 14.0595 Å, with angles of 90.00, 90.00 and 120.00 degrees. The inequivalent atoms are Pr at (0.3333, 0.6667, 0.4027), Sm at (0.3333, 0.6667, 0.0917), N at (0.0000, 0.0000, 0.0000), N at (0.0000, 0.0000, 0.5000) and Cl at (0.3333, 0.6667, 0.7583).

For the energy above the most stable polymorph in this dataset, the calculation gives 0.006 eV/atom.



Density functional theory data (GGA-PBE) for a relaxed PrSm3N2Cl2 crystal.

The space group is P3m1 (No. 156) and the conventional cell measures 3.6393, 3.6393 and 13.9777 Å, with angles of 90.00, 90.00 and 120.00 degrees. The inequivalent atoms are Pr at (0.0000, 0.0000, 0.0000), Sm at (0.0000, 0.0000, 0.3127), Sm at (0.6667, 0.3333, 0.4978), Sm at (0.6667, 0.3333, 0.8080), N at (0.3333, 0.6667, 0.4051), N at (0.3333, 0.6667, 0.8929), Cl at (0.0000, 0.0000, 0.6522) and Cl at (0.6667, 0.3333, 0.1619).

The calculation puts the total DFT energy (no corrections) at -0.2379 hartree per atom.



Density functional theory data (GGA-PBE) for a relaxed Pr2Sm2NCl5 crystal.

The space group is C2/m (No. 12) and the conventional cell measures 17.386, 3.800 and 8.101 Å, with angles of 90.00, 104.25 and 90.00 degrees. The inequivalent atoms are Pr at (0.001, 0.000, 0.289), Sm at (0.143, 0.500, 0.580), N at (0.000, 0.500, 0.500), Cl at (0.000, 0.500, 0.000), Cl at (0.167, 0.000, 0.839) and Cl at (0.174, 0.000, 0.343).

The calculation puts the total DFT energy (no corrections) at -0.2034 hartree per atom.



Density functional theory data (GGA-PBE) for a relaxed Pr2Y2NCl5 crystal.

The space group is C2/m (No. 12) and the conventional cell measures 17.272, 3.716 and 7.812 Å, with angles of 90.00, 105.26 and 90.00 degrees. The inequivalent atoms are Pr at (0.148, 0.000, 0.089), Y at (0.001, 0.500, 0.792), N at (0.000, 0.000, 0.000), Cl at (0.000, 0.000, 0.500), Cl at (0.159, 0.500, 0.367) and Cl at (0.166, 0.500, 0.818).

The calculation puts the total DFT energy (no corrections) at -0.2155 hartree per atom.



Density functional theory data (GGA-PBE) for a relaxed ReNCl3 crystal.

The space group is P-1 (No. 2) and the conventional cell measures 8.022, 8.135 and 9.062 Å, with angles of 96.93, 108.24 and 110.23 degrees. The inequivalent atoms are Re at (0.012, 0.050, 0.227), Re at (0.123, 0.354, 0.616), N at (0.050, 0.163, 0.685), N at (0.054, 0.212, 0.391), Cl at (0.057, 0.224, 0.040), Cl at (0.187, 0.627, 0.472), Cl at (0.224, 0.574, 0.844), Cl at (0.317, 0.047, 0.898), Cl at (0.320, 0.067, 0.292) and Cl at (0.434, 0.396, 0.663).

The calculation puts the total DFT energy (no corrections) at -0.2092 hartree per atom.



Density functional theory data (GGA-PBE) for a relaxed ReNCl6 crystal.

The space group is P2_1/m (No. 11) and the conventional cell measures 5.922, 10.654 and 6.881 Å, with angles of 90.00, 90.41 and 90.00 degrees. The inequivalent atoms are Re at (0.040, 0.250, 0.289), N at (0.206, 0.250, 0.503), Cl at (0.181, 0.750, 0.000), Cl at (0.206, 0.597, 0.596), Cl at (0.254, 0.095, 0.144) and Cl at (0.353, 0.250, 0.693).

The calculation puts the total DFT energy (no corrections) at -0.1577 hartree per atom.